A plane-wave DFT calculation with PBE with a Hubbard U was carried out for crystalline Mo2PdO6 at its relaxed geometry.

The total moment comes out at 0.64 μB/cell. The calculation puts the density of states at the Fermi level at 1.533 states/eV/f.u. The value obtained for the total DFT energy (no corrections) is -6.6727 eV/atom.

a = 9.8307 Å, b = 3.8958 Å, c = 6.8228 Å
α = 90.00°, β = 113.89°, γ = 90.00°
Space group C2/m (No. 12)
One atom of each set of equivalent atoms:
Mo 0.1867 0.0000 0.1395 [4 per cell]
Pd 0.0000 0.0000 0.5000 [2 per cell]
O 0.0209 0.0000 0.1994 [4 per cell]
O 0.1487 0.5000 0.6095 [4 per cell]
O 0.2082 0.5000 0.0780 [4 per cell]